Computed, not measured: a geometry-optimized ScTi7Al4 structure at the GGA-PBE level of DFT.

```
ScTi7Al4
1.0
-0.9314 -4.5365 3.1566
-1.6435 -8.9891 -2.5377
4.7986 -2.1124 -0.4489
Ti Al Sc
7 4 1
direct
0.7843 0.9530 0.5244
0.0281 0.6475 0.3137
0.2157 0.0470 0.4756
0.7174 0.3902 0.1927
0.2826 0.6098 0.8073
0.9719 0.3525 0.6863
0.5000 0.0000 0.0000
0.7042 0.6864 0.8328
0.5247 0.2914 0.6424
0.4753 0.7086 0.3576
0.2958 0.3136 0.1672
0.0000 0.0000 0.0000
```

crystal system	triclinic
calculated formation energy	-0.197	eV per atom
V	206.9	Å³ per cell
space-group type	P-1

=====

Computed, not measured: a geometry-optimized Sc3TiAl4 structure at the GGA-PBE level of DFT.

```
Sc3TiAl4
1.0
3.3726 0.0000 0.0000
0.0000 3.3726 0.0000
0.0000 0.0000 13.0021
Al Sc Ti
4 3 1
direct
0.0000 0.0000 0.1083
0.0000 0.0000 0.6296
0.0000 0.0000 0.8917
0.0000 0.0000 0.3704
0.5000 0.5000 0.5000
0.5000 0.5000 0.7589
0.5000 0.5000 0.2411
0.5000 0.5000 0.0000
```

crystal system	tetragonal
calculated formation energy	-0.403	eV per atom
V	147.9	Å³ per cell
space-group type	P4/mmm

=====

Computed, not measured: a geometry-optimized ScTiAl structure at the GGA-PBE level of DFT.

```
ScTiAl
1.0
4.7149 -0.0003 0.0000
-2.3568 4.0836 0.0000
0.0000 0.0000 5.8725
Sc Al Ti
2 2 2
direct
0.0000 0.5000 0.0000
0.0000 0.5000 0.5000
0.6668 0.8332 0.2500
0.3332 0.1668 0.7500
0.3334 0.1666 0.2500
0.6666 0.8334 0.7500
```

excess energy over the best structure of this formula in the dataset	0.0	meV/atom
crystal system	hexagonal
calculated formation energy	-0.252	eV per atom
V	113.1	Å³ per cell
space-group type	P6_3/mmc

=====

Computed, not measured: a geometry-optimized ScTiAl3 structure at the GGA-PBE level of DFT.

```
ScTiAl3
1.0
4.9397 0.0000 0.0000
0.0000 4.9397 0.0000
0.0000 0.0000 4.9397
Sc Al Ti
1 3 1
direct
0.0000 0.0000 0.0000
0.0000 0.0000 0.5000
0.0000 0.5000 0.0000
0.5000 0.0000 0.0000
0.5000 0.5000 0.5000
```

excess energy over the best structure of this formula in the dataset	1314.3	meV/atom
crystal system	cubic
calculated formation energy	1.104	eV per atom
V	120.5	Å³ per cell
space-group type	Pm-3m